Computed, not measured: an optimized crystal structure of DyZrSnHg at the PBE-GGA level of DFT.

N(E_F): 1.04 states/eV/atom
Electronic total energy: -4.714 eV/atom

Structure (extended XYZ):
```
4
Lattice="-3.948 -3.290 0.139 0.819 -5.028 -0.688 -0.500 -3.250 3.952" Properties=species:S:1:pos:R:3 pbc="T T T"
Hg -2.722 -8.676 2.552
Dy -1.815 -5.784 1.702
Zr 0.000 0.000 0.000
Sn -0.907 -2.892 0.851
```